DFT (GGA-PBE) results for a relaxed CuAu2Cl crystal. Values from VASP.

```
&SYSTEM
  ibrav = 0, nat = 4, ntyp = 3
/
ATOMIC_SPECIES
Cu 63.55 Cu.upf
Au 196.97 Au.upf
Cl 35.45 Cl.upf
ATOMIC_POSITIONS crystal
Cu 0.0000 0.0000 0.0000
Au 0.0000 0.0000 0.4704
Au 0.5000 0.5000 0.2233
Cl 0.5000 0.5000 0.8188
CELL_PARAMETERS angstrom
3.0734 0.0000 0.0000
0.0000 3.0734 0.0000
0.0000 0.0000 7.6631
```

As for the energy above the most stable polymorph in this dataset: 2.381 kcal/mol of atoms. Its space group is P4mm. The total energy is -12.2 eV per cell. The value obtained for the energy relative to the elements, uncorrected is 0.270 eV per formula unit.


DFT (GGA-PBE) results for a relaxed PmMg2Ga2Pd crystal. Values from VASP.

```
&SYSTEM
  ibrav = 0, nat = 6, ntyp = 4
/
ATOMIC_SPECIES
Pm 145.00 Pm.upf
Mg 24.30 Mg.upf
Ga 69.72 Ga.upf
Pd 106.42 Pd.upf
ATOMIC_POSITIONS crystal
Pm 0.0000 0.0000 0.0000
Mg 0.2500 0.7500 0.5000
Mg 0.7500 0.2500 0.5000
Ga 0.2824 0.2824 0.0000
Ga 0.7176 0.7176 0.0000
Pd 0.5000 0.5000 0.0000
CELL_PARAMETERS angstrom
-2.5684 2.5684 5.4872
2.5684 -2.5684 5.4872
2.5684 2.5684 -5.4872
```

Its space group is I4/mmm. The total energy is -19.4 eV per cell.